Density functional theory data (PBE) for an optimized crystal structure of Li4Bi3Pb.

Cell: 5.095 5.095 8.821 Å, 73.22 73.22 60.00°
Sites, in units of the cell vectors:
Li1 0.127 0.127 0.619
Li2 0.873 0.873 0.381
Bi1 0.500 0.500 0.500
Pb1 0.000 0.000 0.000
Bi2 0.252 0.252 0.244
Li3 0.376 0.376 0.871
Li4 0.624 0.624 0.129
Bi3 0.748 0.748 0.756

Computed properties:
Space group: No. 166

***

Density functional theory data (PBE) for an optimized crystal structure of Li5BiPb2.

Cell: 4.457 4.457 9.228 Å, 103.97 103.97 90.00°
Sites, in units of the cell vectors:
Li1 0.500 0.500 0.000
Pb1 0.735 0.735 0.470
Li2 0.883 0.383 0.765
Li3 0.617 0.117 0.235
Li4 0.383 0.883 0.765
Bi1 0.000 0.000 0.000
Li5 0.117 0.617 0.235
Pb2 0.265 0.265 0.530

Computed properties:
Space group: No. 139

***

Density functional theory data (PBE) for an optimized crystal structure of Li5Bi6Pb.

Cell: 4.776 8.934 7.665 Å, 90.01 107.99 90.02°
Sites, in units of the cell vectors:
Bi1 0.500 0.273 0.000
Pb1 0.000 0.000 0.000
Li1 0.327 0.000 0.656
Bi2 0.500 0.727 0.000
Bi3 0.830 0.737 0.660
Li2 0.331 0.500 0.662
Bi4 0.170 0.737 0.340
Bi5 0.830 0.263 0.660
Bi6 0.170 0.263 0.340
Li3 0.673 0.000 0.344
Li4 0.669 0.500 0.338
Li5 0.000 0.500 0.000

Computed properties:
Space group: No. 10

***

Density functional theory data (PBE) for an optimized crystal structure of Li2Bi2Pb.

Cell: 4.599 4.599 7.233 Å, 71.46 71.46 90.00°
Sites, in units of the cell vectors:
Li1 0.604 0.604 0.793
Pb1 0.000 0.000 0.000
Bi1 0.250 0.750 0.500
Li2 0.396 0.396 0.207
Bi2 0.750 0.250 0.500

Computed properties:
Energy above the lowest structure with this stoichiometry: 171.6 meV per atom
Space group: No. 139

***

Density functional theory data (PBE) for an optimized crystal structure of LiBiPb6.

Cell: 5.926 6.848 6.848 Å, 118.07 90.00 90.00°
Sites, in units of the cell vectors:
Li1 0.500 0.000 0.000
Pb1 0.000 0.260 0.260
Pb2 0.500 0.000 0.500
Pb3 0.000 0.762 0.238
Pb4 0.000 0.238 0.762
Bi1 0.500 0.500 0.500
Pb5 0.000 0.740 0.740
Pb6 0.500 0.500 0.000

Computed properties:
Space group: No. 65

***

Density functional theory data (PBE) for an optimized crystal structure of LiBi3Pb12.

Cell: 5.958 5.958 14.042 Å, 90.00 90.00 90.00°
Sites, in units of the cell vectors:
Pb1 0.500 0.000 0.372
Pb2 0.500 0.000 0.628
Pb3 0.500 0.500 0.000
Pb4 0.500 0.000 0.121
Pb5 0.500 0.500 0.749
Pb6 0.000 0.500 0.372
Pb7 0.500 0.000 0.879
Pb8 0.500 0.500 0.251
Bi1 0.000 0.000 0.772
Bi2 0.000 0.000 0.500
Pb9 0.000 0.500 0.879
Pb10 0.000 0.500 0.628
Pb11 0.500 0.500 0.500
Pb12 0.000 0.500 0.121
Bi3 0.000 0.000 0.228
Li1 0.000 0.000 0.000

Computed properties:
Space group: No. 123

***

no.,formation energy (eV per atom)
1,-0.347
2,-0.340
3,-0.297
4,-0.080
5,-0.022
6,-0.003